Computed, not measured: Y2MgIn at its PBEsol-relaxed geometry at the meta-GGA SCAN level of DFT.

Computed properties:
Size of the total moment: 0.1666 μB per atom
ΔE_f: -377 meV/atom
Fermi-level density of states: 0.89 states/eV/atom
Calculated total energy: -0.8779 hartree per atom

Unit cell a=3.5682 b=4.8533 c=6.3716 alpha=90.00 beta=106.33 gamma=90.00
Closest atoms and distances in Å follow each position.
Positions (direct):
In: 0.3056 0.0000 0.4860  2 Mg 2.95, 5 Y 3.21-3.24
Y: 0.7084 0.5000 0.2923  4 In 3.24, 3 Mg 3.25-3.38, 2 Y 3.57
Y: 0.0430 0.0000 0.9609  3 In 3.21-3.41, 4 Mg 3.25, 2 Y 3.57
Mg: 0.4431 0.5000 0.7607  2 In 2.95, 5 Y 3.25

Computed, not measured: TaMn3P at its PBEsol-relaxed geometry at the meta-GGA SCAN level of DFT.

Computed properties:
Size of the total moment: 0.0000 μB per atom
ΔE_f: 261 meV/atom
Fermi-level density of states: 0.32 states/eV/atom
Calculated total energy: -0.9587 hartree per atom

Unit cell a=4.0317 b=4.0317 c=4.0317 alpha=90.00 beta=90.00 gamma=90.00
Closest atoms and distances in Å follow each position.
Positions (direct):
Mn: 0.5000 0.0000 0.0000  2 P 2.02
Mn: 0.0000 0.5000 0.0000  2 P 2.02
Mn: 0.0000 0.0000 0.5000  2 P 2.02
P: 0.0000 0.0000 0.0000  6 Mn 2.02
Ta: 0.5000 0.5000 0.5000  12 Mn 2.85

Computed, not measured: RbTi3Tc at its PBEsol-relaxed geometry at the meta-GGA SCAN level of DFT.

Computed properties:
Size of the total moment: 0.0978 μB per atom
ΔE_f: 2303 meV/atom
Fermi-level density of states: 0.80 states/eV/atom
Calculated total energy: -0.6789 hartree per atom

Unit cell a=4.5296 b=4.5296 c=4.5296 alpha=90.00 beta=90.00 gamma=90.00
Closest atoms and distances in Å follow each position.
Positions (direct):
Rb: 0.0000 0.0000 0.0000  6 Ti 2.26
Tc: 0.5000 0.5000 0.5000  12 Ti 3.20
Ti: 0.5000 0.0000 0.0000  2 Rb 2.26
Ti: 0.0000 0.0000 0.5000  2 Rb 2.26
Ti: 0.0000 0.5000 0.0000  2 Rb 2.26

Computed, not measured: LaCd2InSe at its PBEsol-relaxed geometry at the meta-GGA SCAN level of DFT.

Computed properties:
Size of the total moment: 0.1424 μB per atom
Fermi-level density of states: 0.69 states/eV/atom
Raw formation energy: 0.805 eV/atom
Calculated total energy: -1.1273 hartree per atom

Unit cell a=5.8611 b=5.8611 c=6.0854 alpha=90.00 beta=90.00 gamma=90.00
Closest atoms and distances in Å follow each position.
Positions (direct):
Se: 0.5000 0.5000 0.5000  4 In 4.14, 8 Cd 4.22
In: 0.0000 0.0000 0.5000  2 La 3.04
Cd: 0.5000 0.0000 0.0000  2 La 2.93
Cd: 0.0000 0.5000 0.0000  2 La 2.93
La: 0.0000 0.0000 0.0000  4 Cd 2.93, 2 In 3.04

- The lowest size of the total moment belongs to which entry?
  TaMn3P

- What is the formula in the third record?
  RbTi3Tc